Entry 1:
Entry from the Alexandria database: TbPr4Ho2Th after structural relaxation (PBE).

Cell: 5.1261 5.1386 10.2881 Å, 90.00 90.00 90.00°
Closest atoms and distances in Å follow each position.
Atoms (fractional coordinates):
Tb  0.0000  0.0000  0.0000  4 Ho 3.63, 8 Pr 3.65
Pr  0.0000  0.5000  0.2517  2 Th 3.62, 4 Ho 3.62-3.64, 4 Pr 3.63, 2 Tb 3.65
Pr  0.0000  0.5000  0.7483  2 Th 3.62, 4 Ho 3.62-3.64, 4 Pr 3.63, 2 Tb 3.65
Pr  0.5000  0.0000  0.2527  4 Ho 3.61-3.66, 2 Th 3.62, 4 Pr 3.63, 2 Tb 3.65
Pr  0.5000  0.0000  0.7473  4 Ho 3.61-3.66, 2 Th 3.62, 4 Pr 3.63, 2 Tb 3.65
Ho  0.0000  0.0000  0.5000  8 Pr 3.61-3.62, 4 Th 3.63
Ho  0.5000  0.5000  0.0000  4 Tb 3.63, 8 Pr 3.64-3.66
Th  0.5000  0.5000  0.5000  8 Pr 3.62, 4 Ho 3.63

---

Entry 2:
Entry from the Alexandria database: Tb6Pr2Ho3Th after structural relaxation (PBE).

Cell: 6.2075 6.2075 11.8449 Å, 95.01 95.01 119.95°
Closest atoms and distances in Å follow each position.
Atoms (fractional coordinates):
Tb  0.0849  0.4141  0.7524  6 Tb 3.54-3.61, 3 Ho 3.54-3.57, 1 Th 3.58, 2 Pr 3.60-3.61
Tb  0.2442  0.2442  0.2476  6 Tb 3.54-3.61, 3 Ho 3.55-3.57, 1 Th 3.58, 2 Pr 3.61
Tb  0.4141  0.0849  0.7524  6 Tb 3.54-3.61, 3 Ho 3.54-3.57, 1 Th 3.58, 2 Pr 3.60-3.61
Tb  0.5859  0.9151  0.2476  6 Tb 3.54-3.61, 3 Ho 3.54-3.57, 1 Th 3.58, 2 Pr 3.60-3.61
Tb  0.7558  0.7558  0.7524  6 Tb 3.54-3.61, 3 Ho 3.55-3.57, 1 Th 3.58, 2 Pr 3.61
Tb  0.9151  0.5859  0.2476  6 Tb 3.54-3.61, 3 Ho 3.54-3.57, 1 Th 3.58, 2 Pr 3.60-3.61
Pr  0.3334  0.6666  0.5000  3 Pr 3.58-3.59, 3 Th 3.58-3.59, 6 Tb 3.60-3.61
Pr  0.6666  0.3334  0.5000  3 Pr 3.58-3.59, 3 Th 3.58-3.59, 6 Tb 3.60-3.61
Ho  0.1669  0.8331  0.0000  6 Tb 3.55-3.57, 6 Ho 3.58-3.59
Ho  0.5000  0.5000  0.0000  6 Tb 3.54-3.57, 6 Ho 3.58-3.59
Ho  0.8331  0.1669  0.0000  6 Tb 3.55-3.57, 6 Ho 3.58-3.59
Th  0.0000  0.0000  0.5000  6 Tb 3.58, 6 Pr 3.58-3.59

---

Entry 3:
Entry from the Alexandria database: Tb2PrHo4Th after structural relaxation (PBE).

Cell: 5.0602 5.0784 9.9835 Å, 90.00 90.00 90.00°
Closest atoms and distances in Å follow each position.
Atoms (fractional coordinates):
Tb  0.0000  0.0000  0.0000  8 Ho 3.52-3.53, 4 Th 3.58
Tb  0.5000  0.5000  0.5000  4 Pr 3.58, 8 Ho 3.59-3.60
Pr  0.0000  0.0000  0.5000  4 Tb 3.58, 8 Ho 3.59
Ho  0.0000  0.5000  0.2452  2 Th 3.52, 4 Tb 3.53-3.59, 4 Ho 3.58, 2 Pr 3.59
Ho  0.0000  0.5000  0.7548  2 Th 3.52, 4 Tb 3.53-3.59, 4 Ho 3.58, 2 Pr 3.59
Ho  0.5000  0.0000  0.2448  4 Tb 3.52-3.60, 2 Th 3.52, 4 Ho 3.58, 2 Pr 3.59
Ho  0.5000  0.0000  0.7552  4 Tb 3.52-3.60, 2 Th 3.52, 4 Ho 3.58, 2 Pr 3.59
Th  0.5000  0.5000  0.0000  8 Ho 3.52, 4 Tb 3.58

---

Entry 4:
Entry from the Alexandria database: Tb2Pr4HoTh after structural relaxation (PBE).

Cell: 6.0742 6.0761 7.3638 Å, 90.00 90.08 90.00°
Closest atoms and distances in Å follow each position.
Atoms (fractional coordinates):
Tb  0.0000  0.0000  0.0000  8 Pr 3.54, 2 Ho 3.68
Tb  0.5000  0.5000  0.5000  8 Pr 3.56-3.57, 2 Th 3.68
Pr  0.9996  0.5000  0.2467  2 Th 3.53-3.54, 4 Tb 3.54-3.56, 2 Ho 3.57, 2 Pr 3.63-3.73
Pr  0.0004  0.5000  0.7533  2 Th 3.53-3.54, 4 Tb 3.54-3.56, 2 Ho 3.57, 2 Pr 3.63-3.73
Pr  0.4991  0.0000  0.7535  4 Tb 3.54-3.57, 2 Th 3.54, 2 Ho 3.56-3.57, 2 Pr 3.63-3.73
Pr  0.5009  0.0000  0.2465  4 Tb 3.54-3.57, 2 Th 3.54, 2 Ho 3.56-3.57, 2 Pr 3.63-3.73
Ho  0.0000  0.0000  0.5000  8 Pr 3.56-3.57, 2 Tb 3.68
Th  0.5000  0.5000  0.0000  8 Pr 3.53-3.54, 2 Tb 3.68

---

Entry 5:
Entry from the Alexandria database: Tb6Pr3HoTh2 after structural relaxation (PBE).

Cell: 6.2369 6.2369 11.8831 Å, 95.03 95.03 119.96°
Closest atoms and distances in Å follow each position.
Atoms (fractional coordinates):
Tb  0.0815  0.4187  0.7563  2 Th 3.52, 1 Ho 3.54, 6 Tb 3.58-3.64, 3 Pr 3.63-3.66
Tb  0.2441  0.2441  0.2440  2 Th 3.52, 1 Ho 3.55, 6 Tb 3.58-3.64, 3 Pr 3.63-3.65
Tb  0.4187  0.0815  0.7563  2 Th 3.52, 1 Ho 3.54, 6 Tb 3.58-3.64, 3 Pr 3.63-3.66
Tb  0.5813  0.9185  0.2437  2 Th 3.52, 1 Ho 3.54, 6 Tb 3.58-3.64, 3 Pr 3.63-3.66
Tb  0.7559  0.7559  0.7560  2 Th 3.52, 1 Ho 3.55, 6 Tb 3.58-3.64, 3 Pr 3.63-3.65
Tb  0.9185  0.5813  0.2437  2 Th 3.52, 1 Ho 3.54, 6 Tb 3.58-3.64, 3 Pr 3.63-3.66
Pr  0.0000  0.0000  0.5000  6 Pr 3.60, 6 Tb 3.63-3.65
Pr  0.3335  0.6665  0.5000  6 Pr 3.60, 6 Tb 3.63-3.66
Pr  0.6665  0.3335  0.5000  6 Pr 3.60, 6 Tb 3.63-3.66
Ho  0.5000  0.5000  0.0000  6 Tb 3.54-3.55, 6 Th 3.60
Th  0.1665  0.8335  0.0000  6 Tb 3.52, 3 Th 3.60, 3 Ho 3.60
Th  0.8335  0.1665  0.0000  6 Tb 3.52, 3 Th 3.60, 3 Ho 3.60

---

Entry 6:
Entry from the Alexandria database: Tb3PrHo6Th2 after structural relaxation (PBE).

Cell: 6.1833 6.1833 11.7176 Å, 95.07 95.07 119.98°
Closest atoms and distances in Å follow each position.
Atoms (fractional coordinates):
Tb  0.0000  0.0000  0.0000  6 Ho 3.54-3.56, 6 Tb 3.57
Tb  0.3338  0.6662  0.0000  6 Ho 3.54-3.57, 6 Tb 3.56-3.58
Tb  0.6662  0.3338  0.0000  6 Ho 3.54-3.57, 6 Tb 3.56-3.58
Pr  0.5000  0.5000  0.5000  6 Ho 3.55, 6 Th 3.57
Ho  0.0784  0.4167  0.2513  2 Th 3.52, 3 Tb 3.54-3.57, 6 Ho 3.54-3.62, 1 Pr 3.55
Ho  0.2450  0.2450  0.7488  2 Th 3.52, 3 Tb 3.54-3.56, 6 Ho 3.54-3.62, 1 Pr 3.55
Ho  0.4167  0.0784  0.2513  2 Th 3.52, 3 Tb 3.54-3.57, 6 Ho 3.54-3.62, 1 Pr 3.55
Ho  0.5833  0.9216  0.7487  2 Th 3.52, 3 Tb 3.54-3.57, 6 Ho 3.54-3.62, 1 Pr 3.55
Ho  0.7550  0.7550  0.2512  2 Th 3.52, 3 Tb 3.54-3.56, 6 Ho 3.54-3.62, 1 Pr 3.55
Ho  0.9216  0.5833  0.7487  2 Th 3.52, 3 Tb 3.54-3.57, 6 Ho 3.54-3.62, 1 Pr 3.55
Th  0.1667  0.8333  0.5000  6 Ho 3.52, 3 Pr 3.57, 3 Th 3.57
Th  0.8333  0.1667  0.5000  6 Ho 3.52, 3 Pr 3.57, 3 Th 3.57

---

Number 1: calculated formation energy 0.312 eV per formula unit. Number 2: calculated formation energy 0.396 eV per formula unit. Number 3: calculated formation energy 0.241 eV per formula unit. Number 4: calculated formation energy 1.093 eV per formula unit. Number 5: calculated formation energy 0.241 eV per formula unit. Number 6: calculated formation energy 0.374 eV per formula unit.